1.
OsRh: relaxed, PBE-GGA.

Cell lengths 4.7559, 4.3553, 5.4826 Å; angles 90.00, 90.00, 90.00 degrees
Last column: nearest neighbours and their distance in Å.
Element x y z (fractional)
Os (0.0773, 0.2500, 0.1258)  4 Os 2.68-2.74, 8 Rh 2.70-2.78
Os (0.4227, 0.7500, 0.6258)  4 Os 2.68-2.74, 8 Rh 2.70-2.78
Os (0.5773, 0.2500, 0.3742)  4 Os 2.68-2.74, 8 Rh 2.70-2.78
Os (0.9227, 0.7500, 0.8742)  4 Os 2.68-2.74, 8 Rh 2.70-2.78
Rh (0.0877, 0.2500, 0.6218)  4 Rh 2.69-2.76, 8 Os 2.70-2.78
Rh (0.4123, 0.7500, 0.1218)  4 Rh 2.69-2.76, 8 Os 2.70-2.78
Rh (0.5877, 0.2500, 0.8782)  4 Rh 2.69-2.76, 8 Os 2.70-2.78
Rh (0.9123, 0.7500, 0.3782)  4 Rh 2.69-2.76, 8 Os 2.70-2.78

Computed properties:
As for the symmetry: Pnma, No. 62. As for the crystal system: orthorhombic. The formation energy is 0.04 eV per atom.

2.
OsRh: relaxed, PBE-GGA.

Cell lengths 2.6982, 2.6982, 3.9067 Å; angles 90.00, 90.00, 90.00 degrees
Last column: nearest neighbours and their distance in Å.
Element x y z (fractional)
Os (0.0000, 0.0000, 0.0000)  4 Os 2.70, 8 Rh 2.73
Rh (0.5000, 0.5000, 0.5000)  4 Rh 2.70, 8 Os 2.73

Computed properties:
As for the symmetry: P4/mmm, No. 123. As for the crystal system: tetragonal. The formation energy is 0.14 eV per atom.

3.
Os3Rh5: relaxed, PBE-GGA.

Cell lengths 2.7433, 4.3622, 9.5166 Å; angles 90.00, 90.00, 90.00 degrees
Last column: nearest neighbours and their distance in Å.
Element x y z (fractional)
Os (0.0000, 0.0000, 0.0000)  6 Os 2.68-2.74, 6 Rh 2.70-2.74
Os (0.0000, 0.5000, 0.1631)  8 Os 2.68-2.74, 4 Rh 2.73
Os (0.5000, 0.0000, 0.2451)  4 Rh 2.69-2.74, 8 Os 2.69-2.74
Rh (0.0000, 0.0000, 0.4948)  10 Rh 2.70-2.79, 2 Os 2.74
Rh (0.0000, 0.5000, 0.6622)  12 Rh 2.70-2.78
Rh (0.5000, 0.0000, 0.7504)  10 Rh 2.69-2.79, 2 Os 2.74
Rh (0.5000, 0.5000, 0.4107)  4 Os 2.69-2.73, 8 Rh 2.70-2.76
Rh (0.5000, 0.5000, 0.9157)  6 Rh 2.69-2.78, 6 Os 2.70-2.73

Computed properties:
As for the symmetry: Pmm2, No. 25. As for the crystal system: orthorhombic. The calculation puts the polymorph energy (0 for the lowest one) at 0.000 eV/atom. The formation energy is 0.03 eV per atom.

4.
OsRh4: relaxed, PBE-GGA.

Cell lengths 6.7935, 6.7935, 6.7935 Å; angles 149.97, 149.97, 42.99 degrees
Last column: nearest neighbours and their distance in Å.
Element x y z (fractional)
Os (0.0000, 0.0000, 0.0000)  8 Rh 2.78
Rh (0.2500, 0.7500, 0.5000)  8 Rh 2.49-2.61
Rh (0.4029, 0.4029, 0.0000)  5 Rh 2.46-2.61
Rh (0.5971, 0.5971, 0.0000)  5 Rh 2.46-2.61
Rh (0.7500, 0.2500, 0.5000)  8 Rh 2.49-2.61

Computed properties:
As for the symmetry: I4/mmm, No. 139. As for the crystal system: tetragonal. The calculation puts the polymorph energy (0 for the lowest one) at 0.673 eV/atom. The formation energy is 0.71 eV per atom.

5.
OsRh5: relaxed, PBE-GGA.

Cell lengths 4.9838, 4.9838, 4.4165 Å; angles 90.00, 90.00, 120.00 degrees
Last column: nearest neighbours and their distance in Å.
Element x y z (fractional)
Os (0.0000, 0.0000, 0.0000)  6 Rh 2.88
Rh (0.0000, 0.5000, 0.5000)  8 Rh 2.49-2.64
Rh (0.3333, 0.6667, 0.0000)  9 Rh 2.64-2.88, 3 Os 2.88
Rh (0.5000, 0.0000, 0.5000)  8 Rh 2.49-2.64
Rh (0.5000, 0.5000, 0.5000)  8 Rh 2.49-2.64
Rh (0.6667, 0.3333, 0.0000)  9 Rh 2.64-2.88, 3 Os 2.88

Computed properties:
As for the symmetry: P6/mmm, No. 191. As for the crystal system: hexagonal. The calculation puts the polymorph energy (0 for the lowest one) at 0.756 eV/atom. The formation energy is 0.78 eV per atom.

6.
OsRh: relaxed, PBE-GGA.

Cell lengths 3.0812, 3.0812, 3.0812 Å; angles 90.00, 90.00, 90.00 degrees
Last column: nearest neighbours and their distance in Å.
Element x y z (fractional)
Os (0.0000, 0.0000, 0.0000)  8 Rh 2.67
Rh (0.5000, 0.5000, 0.5000)  8 Os 2.67

Computed properties:
As for the symmetry: Pm-3m, No. 221. As for the crystal system: cubic. The formation energy is 0.67 eV per atom.

7.
Os2Rh3: relaxed, PBE-GGA.

Cell lengths 6.7668, 6.7668, 7.2162 Å; angles 118.58, 118.58, 33.04 degrees
Last column: nearest neighbours and their distance in Å.
Element x y z (fractional)
Os (0.1800, 0.1800, 0.3792)  6 Rh 2.51-2.81, 3 Os 2.59-2.62
Os (0.2645, 0.2645, 0.1211)  3 Os 2.50-2.59, 7 Rh 2.58-2.73
Os (0.7355, 0.7355, 0.8789)  3 Os 2.50-2.59, 7 Rh 2.58-2.73
Os (0.8200, 0.8200, 0.6208)  6 Rh 2.51-2.81, 3 Os 2.59-2.62
Rh (0.0642, 0.0642, 0.7542)  4 Os 2.63-2.81, 6 Rh 2.66-2.94
Rh (0.3870, 0.3870, 0.9156)  1 Rh 2.55, 5 Os 2.66-2.67
Rh (0.4109, 0.4109, 0.5284)  4 Os 2.51-2.63, 3 Rh 2.54-2.66
Rh (0.5891, 0.5891, 0.4716)  4 Os 2.51-2.63, 3 Rh 2.54-2.66
Rh (0.6130, 0.6130, 0.0844)  1 Rh 2.55, 5 Os 2.66-2.67
Rh (0.9358, 0.9358, 0.2458)  4 Os 2.63-2.81, 6 Rh 2.66-2.94

Computed properties:
As for the symmetry: C2/m, No. 12. As for the crystal system: monoclinic. The calculation puts the polymorph energy (0 for the lowest one) at 0.126 eV/atom. The formation energy is 0.35 eV per atom.

8.
OsRh5: relaxed, PBE-GGA.

Cell lengths 2.7160, 2.7160, 11.5476 Å; angles 90.00, 90.00, 90.00 degrees
Last column: nearest neighbours and their distance in Å.
Element x y z (fractional)
Os (0.0000, 0.0000, 0.0000)  8 Rh 2.69, 4 Os 2.72
Rh (0.0000, 0.0000, 0.3360)  12 Rh 2.70-2.77
Rh (0.0000, 0.0000, 0.6640)  12 Rh 2.70-2.77
Rh (0.5000, 0.5000, 0.1629)  4 Os 2.69, 8 Rh 2.72-2.77
Rh (0.5000, 0.5000, 0.5000)  12 Rh 2.70-2.72
Rh (0.5000, 0.5000, 0.8371)  4 Os 2.69, 8 Rh 2.72-2.77

Computed properties:
As for the symmetry: P4/mmm, No. 123. As for the crystal system: tetragonal. The calculation puts the polymorph energy (0 for the lowest one) at 0.000 eV/atom. The formation energy is 0.02 eV per atom.